No. 1
A plane-wave DFT calculation with GGA-PBE was carried out for a relaxed LiCdAu3 crystal.

Geometry as extended XYZ:
```
5
Lattice="5.2318 0.0000 0.0000 0.0000 5.2318 0.0000 0.0000 0.0000 5.2318" Properties=species:S:1:pos:R:3 pbc="T T T"
Li 0.0000 0.0000 0.0000
Cd 2.6159 2.6159 2.6159
Au 0.0000 2.6159 2.6159
Au 2.6159 0.0000 2.6159
Au 2.6159 2.6159 0.0000
```

Results
As for the polymorph energy (0 for the lowest one): 0.624 eV per atom. The formation energy comes out at 0.30 eV per atom. As for the space group: No. 221. The density of states at the Fermi level is 0.217 states/eV/atom.

---

No. 2
A plane-wave DFT calculation with GGA-PBE was carried out for a relaxed CeSmCu4 crystal.

Geometry as extended XYZ:
```
6
Lattice="-1.9542 1.9542 7.7554 1.9542 -1.9542 7.7554 1.9542 1.9542 -7.7554" Properties=species:S:1:pos:R:3 pbc="T T T"
Ce 0.0000 0.0000 0.0000
Sm 1.9542 0.0000 3.8777
Cu 0.0000 0.0000 6.5164
Cu 0.0000 0.0000 8.9943
Cu 0.0000 1.9542 2.6452
Cu 0.0000 1.9542 5.1101
```

Results
As for the polymorph energy (0 for the lowest one): 0.000 eV per atom. The formation energy comes out at -0.15 eV per atom. As for the space group: No. 119. The density of states at the Fermi level is 1.500 states/eV/atom.

---

No. 3
A plane-wave DFT calculation with GGA-PBE was carried out for a relaxed RbNpNb2O8 crystal.

Geometry as extended XYZ:
```
12
Lattice="4.6597 -3.2590 0.0000 4.6597 3.2590 0.0000 -2.5708 0.0000 7.4545" Properties=species:S:1:pos:R:3 pbc="T T T"
Rb 0.0000 0.0000 0.0000
Np -1.2854 0.0000 3.7273
Nb 2.1040 0.0000 5.8883
Nb 4.6446 0.0000 1.5662
O 0.3989 0.0000 4.6926
O 2.6822 1.6194 5.1530
O 4.0663 1.6194 2.3015
O 0.8391 0.0000 7.4162
O 5.9095 0.0000 0.0384
O 2.6822 -1.6194 5.1530
O 4.0663 -1.6194 2.3015
O 6.3497 0.0000 2.7620
```

Results
The value obtained for the formation energy from raw total energies is -2555.4 meV per atom. As for the space group: No. 12. The density of states at the Fermi level is 0.353 states/eV/atom.